No. 1
The following is a DFT calculation (PBE) of ZnIrIO2 after structural relaxation.

POSCAR file:
```
ZnIrIO2
1.0
-1.3473 -2.9026 2.0950
2.7508 0.5929 2.5905
-3.8365 4.0519 3.1466
Ir O I Zn
1 2 1 1
Direct
0.5000 0.5000 0.5000
0.5000 0.0000 0.0000
0.0000 0.5000 0.0000
0.0000 0.0000 0.5000
0.0000 0.0000 0.0000
```

## Properties
ΔE to the lowest computed polymorph	761	meV/atom

---

No. 2
The following is a DFT calculation (PBE) of ZnIrIO2 after structural relaxation.

POSCAR file:
```
ZnIrIO2
1.0
-1.2981 0.5815 3.5308
-2.6617 -2.6674 -0.5392
5.1214 -5.6801 2.8183
I O Ir Zn
1 2 1 1
Direct
0.0000 0.0000 0.5000
0.0000 0.5000 0.0000
0.5000 0.0000 0.0000
0.0000 0.0000 0.0000
0.5000 0.5000 0.5000
```

## Properties
ΔE to the lowest computed polymorph	0	meV/atom

---

No. 3
The following is a DFT calculation (PBE) of ZrIrI2O after structural relaxation.

POSCAR file:
```
ZrIrI2O
1.0
5.7453 0.0000 0.0000
0.0000 5.7453 0.0000
0.0000 0.0000 3.9421
Ir Zr I O
1 1 2 1
Direct
0.5000 0.5000 0.5000
0.0000 0.0000 0.0000
0.5000 0.0000 0.0000
0.0000 0.5000 0.0000
0.0000 0.0000 0.5000
```

## Properties
ΔE to the lowest computed polymorph	0	meV/atom

---

No. 4
The following is a DFT calculation (PBE) of ZrIrIO2 after structural relaxation.

POSCAR file:
```
ZrIrIO2
1.0
4.0250 0.0000 0.0000
0.0000 4.0250 0.0000
0.0000 0.0000 6.4020
O Ir Zr I
2 1 1 1
Direct
0.0000 0.5000 0.0000
0.5000 0.0000 0.0000
0.5000 0.5000 0.5000
0.0000 0.0000 0.0000
0.0000 0.0000 0.5000
```

## Properties
ΔE to the lowest computed polymorph	0	meV/atom

---

No. 5
The following is a DFT calculation (PBE) of ZrIrIO2 after structural relaxation.

POSCAR file:
```
ZrIrIO2
1.0
-0.5667 -2.8426 -2.5831
3.2129 -1.7817 1.2558
-3.6653 -3.4032 4.5493
I O Zr Ir
1 2 1 1
Direct
0.0000 0.0000 0.5000
0.5000 0.0000 0.0000
0.0000 0.5000 0.0000
0.5000 0.5000 0.5000
0.0000 0.0000 0.0000
```

## Properties
ΔE to the lowest computed polymorph	905	meV/atom

---

No. 6
The following is a DFT calculation (PBE) of ZrIrI2O after structural relaxation.

POSCAR file:
```
ZrIrI2O
1.0
-0.6001 -5.4382 1.4607
5.5198 -0.2776 1.2342
-0.7304 1.0196 3.4959
Ir Zr O I
1 1 1 2
Direct
0.0000 0.0000 0.0000
0.5000 0.5000 0.5000
0.0000 0.0000 0.5000
0.5000 0.0000 0.0000
0.0000 0.5000 0.0000
```

## Properties
ΔE to the lowest computed polymorph	176	meV/atom

---

No. 7
The following is a DFT calculation (PBE) of IrOsI3 after structural relaxation.

POSCAR file:
```
IrOsI3
1.0
-4.7559 -0.7437 -2.3812
2.1677 -3.7690 -3.1523
-1.2346 -3.7527 3.6379
Os I Ir
1 3 1
Direct
0.5000 0.5000 0.5000
0.0000 0.5000 0.0000
0.0000 0.0000 0.5000
0.5000 0.0000 0.0000
0.0000 0.0000 0.0000
```

## Properties
ΔE to the lowest computed polymorph	0	meV/atom

---

No. 8
The following is a DFT calculation (PBE) of Ir3OsI after structural relaxation.

POSCAR file:
```
Ir3OsI
1.0
4.7981 0.0000 0.0000
0.0000 4.7981 0.0000
0.0000 0.0000 4.7981
Ir Os I
3 1 1
Direct
0.0000 0.0000 0.5000
0.5000 0.0000 0.0000
0.0000 0.5000 0.0000
0.0000 0.0000 0.0000
0.5000 0.5000 0.5000
```

## Properties
ΔE to the lowest computed polymorph	0	meV/atom

---

No. 9
The following is a DFT calculation (PBE) of IrOsI2 after structural relaxation.

POSCAR file:
```
IrOsI2
1.0
5.8527 0.0000 0.0000
0.0000 5.8527 0.0000
2.9264 2.9264 6.1645
Os I Ir
2 4 2
Direct
0.5000 0.5000 0.0000
0.2500 0.7500 0.5000
0.3750 0.3784 0.7500
0.6216 0.1250 0.2500
0.8750 0.8716 0.7500
0.1284 0.6250 0.2500
0.0000 0.0000 0.0000
0.7500 0.2500 0.5000
```

## Properties
ΔE to the lowest computed polymorph	0	meV/atom

---

No. 10
The following is a DFT calculation (PBE) of Ir2OsI after structural relaxation.

POSCAR file:
```
Ir2OsI
1.0
4.1708 -0.5435 -1.8112
2.0228 -4.1073 0.1012
0.5217 -2.3915 -3.8705
Os Ir I
1 2 1
Direct
0.5000 0.5000 0.5000
0.7500 0.7500 0.7500
0.2500 0.2500 0.2500
0.0000 0.0000 0.0000
```

## Properties
ΔE to the lowest computed polymorph	319	meV/atom

---

No. 11
The following is a DFT calculation (PBE) of IrOsI2 after structural relaxation.

POSCAR file:
```
IrOsI2
1.0
0.1913 1.3155 4.6264
0.6741 4.6224 1.1620
-3.6007 2.5466 1.9290
Os I Ir
1 2 1
Direct
0.0000 0.0000 0.0000
0.2500 0.2500 0.2500
0.7500 0.7500 0.7500
0.5000 0.5000 0.5000
```

## Properties
ΔE to the lowest computed polymorph	285	meV/atom

---

No. 12
The following is a DFT calculation (PBE) of Ir2OsI after structural relaxation.

POSCAR file:
```
Ir2OsI
1.0
6.3735 0.0000 0.0000
0.0000 6.3735 0.0000
3.1868 3.1868 4.6556
Ir I Os
4 2 2
Direct
0.6644 0.1250 0.2500
0.8750 0.9144 0.7500
0.3750 0.3356 0.7500
0.0856 0.6250 0.2500
0.2500 0.7500 0.5000
0.5000 0.5000 0.0000
0.7500 0.2500 0.5000
0.0000 0.0000 0.0000
```

## Properties
ΔE to the lowest computed polymorph	0	meV/atom

---

No. 13
The following is a DFT calculation (PBE) of Pm8Ir3OsI4 after structural relaxation.

POSCAR file:
```
Pm8Ir3OsI4
1.0
-0.3411 4.9701 -6.7259
-6.5372 -5.5893 -3.7987
-1.7066 3.0987 7.5842
Pm Ir I Os
8 3 4 1
Direct
0.7741 0.3157 0.0417
0.2259 0.6842 0.4518
0.7324 0.6843 0.9583
0.7741 0.3158 0.5482
0.7273 0.6821 0.4546
0.2727 0.3179 0.5454
0.2676 0.3157 0.0417
0.2259 0.6843 0.9583
0.0000 0.5000 0.5000
0.5000 0.5000 0.5000
0.5000 0.5000 0.0000
0.5000 0.0000 0.0000
0.0000 0.0000 0.5000
0.0000 0.0000 0.0000
0.5000 0.0000 0.5000
0.0000 0.5000 0.0000
```

---

No. 14
The following is a DFT calculation (PBE) of Pr6Ir2OsI3 after structural relaxation.

POSCAR file:
```
Pr6Ir2OsI3
1.0
7.3355 -0.0010 0.0003
-3.6668 6.3533 0.0003
-1.2234 -2.1183 8.1796
Pr I Os Ir
6 3 1 2
Direct
0.7328 0.7328 0.1851
0.0615 0.3905 0.1848
0.3905 0.0615 0.1848
0.2672 0.2672 0.8149
0.9385 0.6095 0.8152
0.6095 0.9385 0.8152
0.5000 0.5000 0.5000
0.8341 0.1659 0.5000
0.1659 0.8341 0.5000
0.0000 0.0000 0.0000
0.3334 0.6666 0.0000
0.6666 0.3334 0.0000
```

---

No. 15
The following is a DFT calculation (PBE) of Pr8Ir3OsI4 after structural relaxation.

POSCAR file:
```
Pr8Ir3OsI4
1.0
-8.4151 0.9420 -0.2985
-0.6907 -7.8629 -5.3424
3.9043 -0.8617 7.4666
I Os Ir Pr
4 1 3 8
Direct
0.5000 0.0000 0.0000
0.5000 0.0000 0.5000
0.0000 0.0000 0.0000
0.0000 0.0000 0.5000
0.0000 0.5000 0.0000
0.0000 0.5000 0.5000
0.5000 0.5000 0.0000
0.5000 0.5000 0.5000
0.7737 0.3147 0.5475
0.7738 0.3146 0.0410
0.7276 0.6832 0.4553
0.2724 0.3168 0.5447
0.2262 0.6854 0.9590
0.2672 0.3146 0.0410
0.7328 0.6854 0.9590
0.2263 0.6853 0.4525
```

---

No. 16
The following is a DFT calculation (PBE) of Rb2IrOsI6 after structural relaxation.

POSCAR file:
```
Rb2IrOsI6
1.0
7.9293 0.0000 0.0000
0.0000 7.9293 0.0000
3.9646 3.9646 5.5928
Rb I Os Ir
2 6 1 1
Direct
0.2500 0.7500 0.5000
0.7500 0.2500 0.5000
0.2496 0.2496 0.5008
0.7505 0.2495 0.0000
0.2495 0.7505 0.0000
0.7504 0.7504 0.4992
0.2495 0.2495 0.0000
0.7505 0.7505 0.0000
0.5000 0.5000 0.0000
0.0000 0.0000 0.0000
```

---

No. 17
The following is a DFT calculation (PBE) of IrOsSe2I after structural relaxation.

POSCAR file:
```
IrOsSe2I
1.0
-0.1818 -2.6040 3.8811
4.5731 -0.9009 -0.3902
1.1658 4.5670 3.1188
Se Ir Os I
2 1 1 1
Direct
0.5000 0.0000 0.0000
0.0000 0.5000 0.0000
0.5000 0.5000 0.5000
0.0000 0.0000 0.0000
0.0000 0.0000 0.5000
```

---

No. 18
The following is a DFT calculation (PBE) of TeIrOsI2 after structural relaxation.

POSCAR file:
```
TeIrOsI2
1.0
-2.6396 4.0379 -2.4856
2.4464 -1.2772 -4.6728
-3.8509 -3.2171 -1.1367
I Os Ir Te
2 1 1 1
Direct
0.5000 0.0000 0.0000
0.0000 0.5000 0.0000
0.5000 0.5000 0.5000
0.0000 0.0000 0.0000
0.0000 0.0000 0.5000
```

## Properties
ΔE to the lowest computed polymorph	0	meV/atom

---

No. 19
The following is a DFT calculation (PBE) of PIr2I after structural relaxation.

POSCAR file:
```
PIr2I
1.0
4.9719 0.0000 0.0000
0.0000 4.9719 0.0000
2.4860 2.4860 6.8091
P Ir I
2 4 2
Direct
0.5000 0.5000 0.0000
0.2500 0.7500 0.5000
0.2080 0.6250 0.2500
0.3750 0.4580 0.7500
0.8750 0.7920 0.7500
0.5420 0.1250 0.2500
0.7500 0.2500 0.5000
0.0000 0.0000 0.0000
```

## Properties
ΔE to the lowest computed polymorph	0	meV/atom

---

No. 20
The following is a DFT calculation (PBE) of PIr3I after structural relaxation.

POSCAR file:
```
PIr3I
1.0
-4.6095 -1.2623 0.8497
1.5176 -3.6173 2.8591
-0.1103 2.9807 3.8296
Ir P I
3 1 1
Direct
0.0000 0.0000 0.5000
0.5000 0.0000 0.0000
0.0000 0.5000 0.0000
0.5000 0.5000 0.5000
0.0000 0.0000 0.0000
```

## Properties
ΔE to the lowest computed polymorph	1439	meV/atom

---

| no. | E_form (uncorrected) (eV/atom) |
| --- | --- |
| 1 | 0.538 |
| 2 | -0.223 |
| 3 | -0.071 |
| 4 | -0.810 |
| 5 | 0.095 |
| 6 | 0.105 |
| 7 | 1.618 |
| 8 | 1.824 |
| 9 | 1.295 |
| 10 | 1.383 |
| 11 | 1.580 |
| 12 | 1.064 |
| 13 | -0.859 |
| 14 | -0.808 |
| 15 | -0.845 |
| 16 | -0.165 |
| 17 | 1.407 |
| 18 | 1.602 |
| 19 | 0.253 |
| 20 | 2.330 |